[1]
Below is crystalline K3TlIn at its relaxed geometry, with properties calculated at the PBE level.

Cell: 6.542 6.542 12.028 Å, 90.00 90.00 123.70°
Element x y z (fractional)
K (0.126, 0.874, 0.750)
K (0.180, 0.820, 0.086)
K (0.180, 0.820, 0.414)
K (0.820, 0.180, 0.586)
K (0.820, 0.180, 0.914)
K (0.874, 0.126, 0.250)
Tl (0.500, 0.500, 0.000)
Tl (0.500, 0.500, 0.500)
In (0.444, 0.556, 0.750)
In (0.556, 0.444, 0.250)

Values from the calculation:
Calculated formation energy, eV per atom: -0.07
Space-group type: Cmcm



[2]
Below is crystalline SbRhAu2 at its relaxed geometry, with properties calculated at the PBE level.

Cell: 4.889 4.889 4.777 Å, 104.41 104.41 42.87°
Element x y z (fractional)
Sb (0.000, 0.000, 0.000)
Rh (0.726, 0.726, 0.159)
Au (0.228, 0.228, 0.672)
Au (0.476, 0.476, 0.459)

Values from the calculation:
Space-group type: Cm



[3]
Below is crystalline Pm6PrNd3 at its relaxed geometry, with properties calculated at the PBE level.

Cell: 11.189 11.189 6.484 Å, 90.00 90.00 120.65°
Element x y z (fractional)
Pm (0.034, 0.966, 0.500)
Pm (0.056, 0.473, 0.016)
Pm (0.280, 0.720, 0.290)
Pm (0.289, 0.371, 0.197)
Pm (0.371, 0.289, 0.697)
Pm (0.473, 0.056, 0.516)
Pm (0.527, 0.944, 0.016)
Pm (0.629, 0.711, 0.197)
Pm (0.711, 0.629, 0.697)
Pm (0.720, 0.280, 0.790)
Pm (0.944, 0.527, 0.516)
Pm (0.966, 0.034, 0.000)
Pr (0.189, 0.811, 0.748)
Pr (0.811, 0.189, 0.248)
Nd (0.059, 0.293, 0.604)
Nd (0.293, 0.059, 0.104)
Nd (0.384, 0.616, 0.729)
Nd (0.616, 0.384, 0.229)
Nd (0.707, 0.941, 0.604)
Nd (0.941, 0.707, 0.104)

Values from the calculation:
Calculated formation energy, eV per atom: 0.13
Space-group type: Cmc2_1



[4]
Below is crystalline NaGa9Pt2 at its relaxed geometry, with properties calculated at the PBE level.

Cell: 8.753 8.753 8.753 Å, 98.35 98.35 135.20°
Element x y z (fractional)
Na (0.375, 0.625, 0.750)
Na (0.625, 0.375, 0.250)
Ga (0.100, 0.546, 0.317)
Ga (0.100, 0.783, 0.555)
Ga (0.125, 0.875, 0.250)
Ga (0.217, 0.271, 0.317)
Ga (0.217, 0.900, 0.945)
Ga (0.271, 0.217, 0.817)
Ga (0.271, 0.454, 0.055)
Ga (0.454, 0.271, 0.555)
Ga (0.454, 0.900, 0.183)
Ga (0.546, 0.100, 0.817)
Ga (0.546, 0.729, 0.445)
Ga (0.729, 0.546, 0.945)
Ga (0.729, 0.783, 0.183)
Ga (0.783, 0.100, 0.055)
Ga (0.783, 0.729, 0.683)
Ga (0.875, 0.125, 0.750)
Ga (0.900, 0.217, 0.445)
Ga (0.900, 0.454, 0.683)
Pt (0.000, 0.000, 0.000)
Pt (0.000, 0.000, 0.500)
Pt (0.000, 0.500, 0.000)
Pt (0.500, 0.000, 0.500)

Values from the calculation:
Calculated formation energy, eV per atom: -0.27
Space-group type: I4_1/amd



[5]
Below is crystalline Dy2Er6Ag at its relaxed geometry, with properties calculated at the PBE level.

Cell: 9.678 9.678 3.514 Å, 90.00 90.00 123.51°
Element x y z (fractional)
Dy (0.184, 0.816, 0.000)
Dy (0.816, 0.184, 0.000)
Er (0.162, 0.484, 0.500)
Er (0.208, 0.208, 0.000)
Er (0.484, 0.162, 0.500)
Er (0.516, 0.838, 0.500)
Er (0.792, 0.792, 0.000)
Er (0.838, 0.516, 0.500)
Ag (0.500, 0.500, 0.500)

Values from the calculation:
Calculated formation energy, eV per atom: 0.09
Space-group type: Cmmm



[6]
Below is crystalline Sr3Tc at its relaxed geometry, with properties calculated at the PBE level.

Cell: 6.786 6.786 6.786 Å, 116.72 116.72 116.72°
Element x y z (fractional)
Sr (0.000, 0.500, 0.500)
Sr (0.500, 0.000, 0.500)
Sr (0.500, 0.500, 0.000)
Tc (0.000, 0.000, 0.000)

Values from the calculation:
Calculated formation energy, eV per atom: 0.91
Space-group type: R-3m



[7]
Below is crystalline YMgP at its relaxed geometry, with properties calculated at the PBE level.

Cell: 4.266 4.266 3.925 Å, 90.00 90.00 120.00°
Element x y z (fractional)
Y (0.000, 0.000, 0.000)
Mg (0.667, 0.333, 0.500)
P (0.333, 0.667, 0.500)

Values from the calculation:
Calculated formation energy, eV per atom: -0.73
Space-group type: P-6m2



[8]
Below is crystalline VTe2C at its relaxed geometry, with properties calculated at the PBE level.

Cell: 6.860 6.860 6.860 Å, 128.96 128.96 75.08°
Element x y z (fractional)
V (0.000, 0.000, 0.000)
V (0.750, 0.250, 0.500)
Te (0.172, 0.625, 0.047)
Te (0.375, 0.422, 0.547)
Te (0.578, 0.125, 0.953)
Te (0.875, 0.828, 0.453)
C (0.250, 0.750, 0.500)
C (0.500, 0.500, 0.000)

Values from the calculation:
Space-group type: I-42d



| no. | DFT total energy (hartree per atom) | volume (A^3/atom) |
| --- | --- | --- |
| 1 | -0.0641 | 42.819 |
| 2 | -0.1659 | 18.713 |
| 3 | -0.1699 | 34.918 |
| 4 | -0.1344 | 18.202 |
| 5 | -0.1576 | 30.492 |
| 6 | -0.1080 | 35.947 |
| 7 | -0.1917 | 20.624 |
| 8 | -0.1891 | 23.754 |